Entry 1:
{
  "formula": "La5ZnCl5",
  "functional": "PBE",
  "state": "relaxed",
  "raw_formation_energy_ev_per_atom": -1.4936,
  "vol_a3_per_cell": 306.2,
  "e_tot_ev_per_atom": -4.6885,
  "cell": [[-2.437, -5.078, 1.604], [6.855, 0.674, 1.856], [-4.539, 4.042, 5.902]],
  "species": ["Cl", "Cl", "Cl", "Cl", "Cl", "La", "La", "La", "La", "La", "Zn"],
  "fractional_positions": [[0.657, 0.315, 0.813], [0.343, 0.685, 0.187], [0.000, 0.000, 0.500], [0.651, 0.303, 0.345], [0.349, 0.697, 0.655], [0.177, 0.355, 0.840], [0.500, 0.000, 0.000], [0.823, 0.645, 0.160], [0.834, 0.668, 0.667], [0.166, 0.332, 0.333], [0.000, 0.000, 0.000]]
}



Entry 2:
{
  "formula": "ZrCdTe2F",
  "functional": "PBE",
  "state": "relaxed",
  "raw_formation_energy_ev_per_atom": -0.2498,
  "vol_a3_per_cell": 119.4,
  "e_tot_ev_per_atom": -3.7734,
  "cell": [[5.378, 0.000, 0.000], [0.000, 4.128, 0.000], [0.000, 0.000, 5.378]],
  "species": ["Cd", "Zr", "Te", "Te", "F"],
  "fractional_positions": [[0.000, 0.500, 0.000], [0.500, 0.500, 0.500], [0.500, 0.000, 0.000], [0.000, 0.000, 0.500], [0.000, 0.000, 0.000]]
}